No. 1
Li2CaAsH | PBE | optimized geometry

## Properties
**Spin magnetization**: 0.000 μB/atom
**DFT total energy**: -3.4961 eV/atom
**SG**: No. 63
**ρ**: 2.682 g/cm3

Cell lengths 5.687, 5.687, 7.390 Å; angles 90.00, 90.00, 137.71 degrees
Positions (direct):
Li 0.166 0.834 0.561
Li 0.166 0.834 0.939
Li 0.834 0.166 0.061
Li 0.834 0.166 0.439
Ca 0.438 0.562 0.750
Ca 0.562 0.438 0.250
As 0.279 0.721 0.250
As 0.721 0.279 0.750
H 0.000 0.000 0.000
H 0.000 0.000 0.500

---

No. 2
CaMgAsH2 | PBE | optimized geometry

## Properties
**Spin magnetization**: 0.000 μB/atom
**DFT total energy**: -3.5025 eV/atom
**SG**: No. 63
**ρ**: 3.168 g/cm3

Cell lengths 5.918, 5.918, 6.368 Å; angles 90.00, 90.00, 138.38 degrees
Positions (direct):
Ca 0.223 0.777 0.750
Ca 0.777 0.223 0.250
Mg 0.500 0.500 0.000
Mg 0.500 0.500 0.500
As 0.054 0.946 0.250
As 0.946 0.054 0.750
H 0.326 0.674 0.061
H 0.326 0.674 0.439
H 0.674 0.326 0.561
H 0.674 0.326 0.939

---

No. 3
Ca2MgAsH | PBE | optimized geometry

## Properties
**Spin magnetization**: 0.000 μB/atom
**DFT total energy**: -2.7047 eV/atom
**SG**: No. 123
**ρ**: 1.854 g/cm3

Cell lengths 5.656, 5.656, 5.052 Å; angles 90.00, 90.00, 90.00 degrees
Positions (direct):
Ca 0.000 0.500 0.000
Ca 0.500 0.000 0.000
Mg 0.000 0.000 0.500
As 0.000 0.000 0.000
H 0.500 0.500 0.500

---

No. 4
CaMgAsH | PBE | optimized geometry

## Properties
**Spin magnetization**: 0.000 μB/atom
**DFT total energy**: -3.6120 eV/atom
**SG**: No. 156
**ρ**: 3.216 g/cm3

Cell lengths 4.385, 4.385, 4.350 Å; angles 90.00, 90.00, 120.00 degrees
Positions (direct):
Ca 0.000 0.000 0.000
Mg 0.667 0.333 0.501
As 0.333 0.667 0.498
H 0.667 0.333 0.999

---

No. 5
CaMnAs2H | PBE | optimized geometry

## Properties
**Spin magnetization**: 0.000 μB/atom
**DFT total energy**: -4.6225 eV/atom
**SG**: No. 123
**ρ**: 3.703 g/cm3

Cell lengths 4.365, 4.365, 5.788 Å; angles 90.00, 90.00, 90.00 degrees
Positions (direct):
Ca 0.000 0.000 0.000
Mn 0.000 0.000 0.500
As 0.000 0.500 0.500
As 0.500 0.000 0.500
H 0.500 0.500 0.000